(1)
The following is a DFT calculation (PBE) of an optimized crystal structure of ThSnPtAu.

Results
space group: F-43m, No. 216

a b c (Å): 5.0293 5.0293 5.0293
angles (deg): 60.00 60.00 60.00
With the nearest neighbours (Å) after each atom.
Atoms (fractional coordinates):
Sn  0.5000  0.5000  0.5000  4 Au 3.08, 4 Pt 3.08
Th  0.0000  0.0000  0.0000  4 Pt 3.08, 4 Au 3.08
Pt  0.7500  0.7500  0.7500  4 Th 3.08, 4 Sn 3.08
Au  0.2500  0.2500  0.2500  4 Th 3.08, 4 Sn 3.08



(2)
The following is a DFT calculation (PBE) of an optimized crystal structure of TiSn2PtAu.

Results
space group: P4/mmm, No. 123

a b c (Å): 5.2849 4.6479 5.2849
angles (deg): 90.00 90.00 90.00
With the nearest neighbours (Å) after each atom.
Atoms (fractional coordinates):
Sn  0.5000  0.0000  0.0000  2 Ti 2.64
Sn  0.0000  0.0000  0.5000  2 Ti 2.64
Pt  0.0000  0.5000  0.0000  2 Ti 2.32
Au  0.5000  0.5000  0.5000  8 Sn 3.52, 4 Pt 3.74
Ti  0.0000  0.0000  0.0000  2 Pt 2.32



| no. | electronic total energy (eV per atom) |
| --- | --- |
| 1 | -5.958 |
| 2 | -4.552 |